Below is a relaxed structure of Ac3Ni3Ir, with properties calculated at the GGA-PBE level.

## Properties
For the energy relative to the elements, the calculation gives -6.8 kJ/mol of atoms. For the total energy, the calculation gives -5.575 eV/atom. Its energy relative to the lowest polymorph listed for this composition is 214 meV per atom.

abc: 5.8153 8.7166 8.7166
angles: 120.00 90.00 90.00
Closest atoms and distances in Å follow each position.
Fractional positions:
Ac 0.7500 0.6989 0.6287  5 Ni 2.91-3.03
Ac 0.7500 0.3713 0.0702  5 Ni 2.91-3.03
Ac 0.7500 0.9298 0.3011  5 Ni 2.91-3.03
Ac 0.2500 0.3011 0.3713  5 Ni 2.91-3.03
Ac 0.2500 0.6287 0.9298  5 Ni 2.91-3.03
Ac 0.2500 0.0702 0.6989  5 Ni 2.91-3.03
Ni 0.2500 0.6913 0.6180  1 Ir 2.38
Ni 0.2500 0.3820 0.0733  1 Ir 2.38
Ni 0.2500 0.9267 0.3087  1 Ir 2.38
Ni 0.7500 0.3087 0.3820  1 Ir 2.38
Ni 0.7500 0.6180 0.9267  1 Ir 2.38
Ni 0.7500 0.0733 0.6913  1 Ir 2.38
Ir 0.2500 0.6667 0.3333  3 Ni 2.38
Ir 0.7500 0.3333 0.6667  3 Ni 2.38

Below is a relaxed structure of Ac2Ni2Ir, with properties calculated at the GGA-PBE level.

## Properties
For the energy relative to the elements, the calculation gives -36.9 kJ/mol of atoms. For the total energy, the calculation gives -6.110 eV/atom.

abc: 4.2759 5.9614 10.3022
angles: 80.62 78.02 68.98
Closest atoms and distances in Å follow each position.
Fractional positions:
Ac 0.7032 0.2308 0.3628  7 Ni 3.19-3.45, 4 Ir 3.20-3.26
Ac 0.9011 0.3030 0.8947  6 Ni 3.06-3.29, 2 Ir 3.14
Ac 0.2968 0.7692 0.6372  7 Ni 3.19-3.45, 4 Ir 3.20-3.26
Ac 0.0989 0.6970 0.1053  6 Ni 3.06-3.29, 2 Ir 3.14
Ni 0.0327 0.3452 0.5894  1 Ni 2.37, 2 Ir 2.48
Ni 0.6077 0.8947 0.8900  1 Ir 2.50, 1 Ni 2.61
Ni 0.9673 0.6548 0.4106  1 Ni 2.37, 2 Ir 2.48
Ni 0.3923 0.1053 0.1100  1 Ir 2.50, 1 Ni 2.61
Ir 0.5679 0.1810 0.6832  3 Ni 2.48-2.50
Ir 0.4321 0.8190 0.3168  3 Ni 2.48-2.50

Below is a relaxed structure of Ac5Ni2Ir, with properties calculated at the GGA-PBE level.

## Properties
For the energy relative to the elements, the calculation gives -25.4 kJ/mol of atoms. For the total energy, the calculation gives -5.384 eV/atom.

abc: 5.8914 7.3721 14.6386
angles: 90.00 90.00 113.58
Closest atoms and distances in Å follow each position.
Fractional positions:
Ac 0.9462 0.8923 0.8816  2 Ni 2.89-2.93, 1 Ir 2.93
Ac 0.9462 0.8923 0.6184  2 Ni 2.89-2.93, 1 Ir 2.93
Ac 0.3358 0.6715 0.4318  3 Ni 2.95-3.08, 1 Ir 3.11
Ac 0.3358 0.6715 0.0682  3 Ni 2.95-3.08, 1 Ir 3.11
Ac 0.7471 0.4939 0.2500  2 Ir 2.97, 2 Ni 3.14
Ac 0.2529 0.5061 0.7500  2 Ir 2.97, 2 Ni 3.14
Ac 0.6642 0.3285 0.5682  3 Ni 2.95-3.08, 1 Ir 3.11
Ac 0.6642 0.3285 0.9318  3 Ni 2.95-3.08, 1 Ir 3.11
Ac 0.0538 0.1077 0.1184  2 Ni 2.89-2.93, 1 Ir 2.93
Ac 0.0538 0.1077 0.3816  2 Ni 2.89-2.93, 1 Ir 2.93
Ni 0.8475 0.6949 0.4431  6 Ac 2.89-3.14
Ni 0.8475 0.6949 0.0569  6 Ac 2.89-3.14
Ni 0.1525 0.3051 0.5569  6 Ac 2.89-3.14
Ni 0.1525 0.3051 0.9431  6 Ac 2.89-3.14
Ir 0.7829 0.5661 0.7500  6 Ac 2.93-3.11
Ir 0.2171 0.4339 0.2500  6 Ac 2.93-3.11

Below is a relaxed structure of Ac9Ni3Ir, with properties calculated at the GGA-PBE level.

## Properties
For the energy relative to the elements, the calculation gives -17.4 kJ/mol of atoms. For the total energy, the calculation gives -5.041 eV/atom.

abc: 7.1227 11.1490 11.8996
angles: 90.00 96.55 90.00
Closest atoms and distances in Å follow each position.
Fractional positions:
Ac 0.1446 0.2500 0.9677  2 Ni 3.01
Ac 0.1354 0.9184 0.7840  2 Ni 2.92-2.99, 1 Ir 3.13
Ac 0.1354 0.5816 0.7840  2 Ni 2.92-2.99, 1 Ir 3.13
Ac 0.2325 0.9288 0.4580  2 Ni 2.91-2.95, 1 Ir 3.17
Ac 0.2325 0.5712 0.4580  2 Ni 2.91-2.95, 1 Ir 3.17
Ac 0.2734 0.2500 0.6313  1 Ir 2.97, 2 Ni 3.03
Ac 0.3518 0.9232 0.1188  2 Ni 2.86-2.87
Ac 0.3518 0.5768 0.1188  2 Ni 2.86-2.87
Ac 0.3850 0.2500 0.3081  1 Ir 3.03, 2 Ni 3.07
Ac 0.6150 0.7500 0.6919  1 Ir 3.03, 2 Ni 3.07
Ac 0.6482 0.0768 0.8812  2 Ni 2.86-2.87
Ac 0.6482 0.4232 0.8812  2 Ni 2.86-2.87
Ac 0.7266 0.7500 0.3687  1 Ir 2.97, 2 Ni 3.03
Ac 0.7675 0.0712 0.5420  2 Ni 2.91-2.95, 1 Ir 3.17
Ac 0.7675 0.4288 0.5420  2 Ni 2.91-2.95, 1 Ir 3.17
Ac 0.8646 0.0816 0.2160  2 Ni 2.92-2.99, 1 Ir 3.13
Ac 0.8646 0.4184 0.2160  2 Ni 2.92-2.99, 1 Ir 3.13
Ac 0.8554 0.7500 0.0323  2 Ni 3.01
Ni 0.0000 0.0000 0.0000  6 Ac 2.86-3.01
Ni 0.0000 0.5000 0.0000  6 Ac 2.86-3.01
Ni 0.4501 0.4959 0.6681  6 Ac 2.87-3.07
Ni 0.4501 0.0041 0.6681  6 Ac 2.87-3.07
Ni 0.5499 0.9959 0.3319  6 Ac 2.87-3.07
Ni 0.5499 0.5041 0.3319  6 Ac 2.87-3.07
Ir 0.0185 0.2500 0.4155  6 Ac 2.97-3.17
Ir 0.9815 0.7500 0.5845  6 Ac 2.97-3.17

Below is a relaxed structure of Ac8Ni3Ir, with properties calculated at the GGA-PBE level.

## Properties
For the energy relative to the elements, the calculation gives -26.1 kJ/mol of atoms. For the total energy, the calculation gives -5.193 eV/atom.

abc: 8.7015 8.7057 8.4114
angles: 121.17 90.00 119.98
Closest atoms and distances in Å follow each position.
Fractional positions:
Ac 0.2578 0.5155 0.7717  3 Ni 2.94-2.95
Ac 0.7422 0.4845 0.2283  3 Ni 2.94-2.95
Ac 0.2557 0.0116 0.7663  2 Ni 2.96-2.97, 1 Ir 2.97
Ac 0.7559 0.0116 0.7663  2 Ni 2.96-2.97, 1 Ir 2.97
Ac 0.7554 0.5108 0.7659  1 Ir 2.97, 2 Ni 2.97
Ac 0.2446 0.4892 0.2341  1 Ir 2.97, 2 Ni 2.97
Ac 0.2441 0.9884 0.2337  2 Ni 2.96-2.97, 1 Ir 2.97
Ac 0.7443 0.9884 0.2337  2 Ni 2.96-2.97, 1 Ir 2.97
Ni 0.5000 0.0000 0.0000  6 Ac 2.94-2.97
Ni 0.5000 0.5000 0.0000  6 Ac 2.95-2.97
Ni 0.0000 0.5000 0.0000  6 Ac 2.95-2.97
Ir 0.0000 0.0000 0.0000  6 Ac 2.97

Below is a relaxed structure of Ac5NiIr2, with properties calculated at the GGA-PBE level.

## Properties
For the energy relative to the elements, the calculation gives -40.2 kJ/mol of atoms. For the total energy, the calculation gives -5.923 eV/atom.

abc: 5.9630 7.4743 14.5711
angles: 90.00 90.00 113.51
Closest atoms and distances in Å follow each position.
Fractional positions:
Ac 0.9456 0.8912 0.8816  2 Ir 2.92, 1 Ni 2.93
Ac 0.9456 0.8912 0.6184  2 Ir 2.92, 1 Ni 2.93
Ac 0.3333 0.6666 0.4345  3 Ir 2.99-3.12, 1 Ni 3.13
Ac 0.3333 0.6666 0.0655  3 Ir 2.99-3.12, 1 Ni 3.13
Ac 0.7496 0.4992 0.2500  2 Ni 3.02, 2 Ir 3.08
Ac 0.2504 0.5008 0.7500  2 Ni 3.02, 2 Ir 3.08
Ac 0.6667 0.3334 0.5655  3 Ir 2.99-3.12, 1 Ni 3.13
Ac 0.6667 0.3334 0.9345  3 Ir 2.99-3.12, 1 Ni 3.13
Ac 0.0544 0.1088 0.1184  2 Ir 2.92, 1 Ni 2.93
Ac 0.0544 0.1088 0.3816  2 Ir 2.92, 1 Ni 2.93
Ni 0.7842 0.5683 0.7500  6 Ac 2.93-3.13
Ni 0.2158 0.4317 0.2500  6 Ac 2.93-3.13
Ir 0.8501 0.7002 0.4392  6 Ac 2.92-3.12
Ir 0.8501 0.7002 0.0608  6 Ac 2.92-3.12
Ir 0.1499 0.2998 0.5608  6 Ac 2.92-3.12
Ir 0.1499 0.2998 0.9392  6 Ac 2.92-3.12

Below is a relaxed structure of Ac8Ni3Ir2, with properties calculated at the GGA-PBE level.

## Properties
For the energy relative to the elements, the calculation gives -28.5 kJ/mol of atoms. For the total energy, the calculation gives -5.521 eV/atom.

abc: 7.2182 8.3158 8.8024
angles: 118.19 105.54 90.00
Closest atoms and distances in Å follow each position.
Fractional positions:
Ac 0.1107 0.3899 0.7797  2 Ni 2.91, 1 Ir 2.99
Ac 0.8893 0.6101 0.2203  2 Ni 2.91, 1 Ir 2.99
Ac 0.0764 0.8842 0.7684  3 Ni 2.95-3.04, 1 Ir 3.09
Ac 0.9236 0.1158 0.2316  3 Ni 2.95-3.04, 1 Ir 3.09
Ac 0.4069 0.8806 0.2446  2 Ni 2.98, 2 Ir 3.05-3.10
Ac 0.4069 0.3640 0.2446  2 Ni 2.98, 2 Ir 3.05-3.10
Ac 0.5931 0.6360 0.7554  2 Ni 2.98, 2 Ir 3.05-3.10
Ac 0.5931 0.1194 0.7554  2 Ni 2.98, 2 Ir 3.05-3.10
Ni 0.5000 0.0000 0.0000  6 Ac 2.98-3.04
Ni 0.0000 0.2564 0.0000  6 Ac 2.91-2.98
Ni 0.0000 0.7436 0.0000  6 Ac 2.91-2.98
Ir 0.6677 0.7444 0.4889  6 Ac 2.99-3.10
Ir 0.3323 0.2556 0.5111  6 Ac 2.99-3.10

Below is a relaxed structure of Ac4Ni3Ir, with properties calculated at the GGA-PBE level.

## Properties
For the energy relative to the elements, the calculation gives -34.0 kJ/mol of atoms. For the total energy, the calculation gives -5.682 eV/atom.

abc: 4.1025 4.4004 11.5057
angles: 90.00 90.00 90.00
Closest atoms and distances in Å follow each position.
Fractional positions:
Ac 0.5000 0.5000 0.3618  6 Ni 3.12, 1 Ir 3.24
Ac 0.0000 0.5000 0.8680  4 Ni 3.07, 2 Ir 3.19
Ac 0.0000 0.0000 0.1359  4 Ir 3.08, 3 Ni 3.22-3.42
Ac 0.5000 0.0000 0.6339  7 Ni 3.09-3.30
Ni 0.0000 0.5000 0.5662  2 Ni 2.68
Ni 0.0000 0.0000 0.4335  2 Ni 2.68
Ni 0.5000 0.0000 0.9207  2 Ir 2.86, 4 Ac 3.07
Ir 0.5000 0.5000 0.0801  2 Ni 2.86, 6 Ac 3.08-3.19

Below is a relaxed structure of Ac6Ni3Ir, with properties calculated at the GGA-PBE level.

## Properties
For the energy relative to the elements, the calculation gives -27.3 kJ/mol of atoms. For the total energy, the calculation gives -5.368 eV/atom.

abc: 7.8812 7.2581 11.1385
angles: 88.14 90.00 90.00
Closest atoms and distances in Å follow each position.
Fractional positions:
Ac 0.8193 0.3272 0.0736  1 Ir 2.91, 2 Ni 2.92-3.03
Ac 0.8198 0.3236 0.4151  3 Ni 2.88-3.17, 1 Ir 2.99
Ac 0.5619 0.3398 0.7483  1 Ir 3.00, 3 Ni 3.02-3.13
Ac 0.4381 0.6602 0.2517  1 Ir 3.00, 3 Ni 3.02-3.13
Ac 0.1802 0.6764 0.5849  3 Ni 2.88-3.17, 1 Ir 2.99
Ac 0.1807 0.6728 0.9264  1 Ir 2.91, 2 Ni 2.92-3.03
Ac 0.6807 0.8272 0.5736  1 Ir 2.91, 2 Ni 2.92-3.03
Ac 0.6802 0.8236 0.9151  3 Ni 2.88-3.17, 1 Ir 2.99
Ac 0.9381 0.8398 0.2483  1 Ir 3.00, 3 Ni 3.02-3.13
Ac 0.0619 0.1602 0.7517  1 Ir 3.00, 3 Ni 3.02-3.13
Ac 0.3198 0.1764 0.0849  3 Ni 2.88-3.17, 1 Ir 2.99
Ac 0.3193 0.1728 0.4264  1 Ir 2.91, 2 Ni 2.92-3.03
Ni 0.1083 0.4513 0.2317  6 Ac 3.02-3.36
Ni 0.5000 0.5000 0.0000  6 Ac 2.88-3.11
Ni 0.8917 0.5487 0.7683  6 Ac 3.02-3.36
Ni 0.3917 0.9513 0.7317  6 Ac 3.02-3.36
Ni 0.0000 0.0000 0.5000  6 Ac 2.88-3.11
Ni 0.6083 0.0487 0.2683  6 Ac 3.02-3.36
Ir 0.5000 0.5000 0.5000  6 Ac 2.91-3.00
Ir 0.0000 0.0000 0.0000  6 Ac 2.91-3.00

Below is a relaxed structure of Ac6NiIr2, with properties calculated at the GGA-PBE level.

## Properties
For the energy relative to the elements, the calculation gives -44.0 kJ/mol of atoms. For the total energy, the calculation gives -5.806 eV/atom.

abc: 4.4034 8.4603 9.5772
angles: 100.20 103.29 90.00
Closest atoms and distances in Å follow each position.
Fractional positions:
Ac 0.3379 0.9088 0.6757  2 Ir 2.97, 1 Ni 2.98
Ac 0.0058 0.2377 0.0116  1 Ir 2.94, 2 Ni 2.97
Ac 0.6707 0.5690 0.3414  3 Ir 2.99-3.01
Ac 0.9942 0.7623 0.9884  1 Ir 2.94, 2 Ni 2.97
Ac 0.6621 0.0912 0.3243  2 Ir 2.97, 1 Ni 2.98
Ac 0.3293 0.4310 0.6586  3 Ir 2.99-3.01
Ni 0.5000 0.0000 0.0000  6 Ac 2.97-2.98
Ir 0.8341 0.6727 0.6683  6 Ac 2.94-3.01
Ir 0.1659 0.3273 0.3317  6 Ac 2.94-3.01